# 1
LaCdOs | GGA-PBE | optimized geometry

The value obtained for the raw total energy is -4.704 eV/atom.

The structure belongs to space group F-43m (No. 216); the cell edges are 6.923, 6.923 and 6.923 Å and the angles 90.00°, 90.00° and 90.00°. The inequivalent atoms are La at (0.000, 0.000, 0.000), Cd at (0.250, 0.250, 0.750) and Os at (0.250, 0.250, 0.250).


# 2
LaCd4Os | GGA-PBE | optimized geometry

The value obtained for the raw total energy is -3.100 eV/atom.

The structure belongs to space group F-43m (No. 216); the cell edges are 8.040, 8.040 and 8.040 Å and the angles 90.00°, 90.00° and 90.00°. The inequivalent atoms are La at (0.000, 0.000, 0.000), Cd at (0.124, 0.124, 0.376) and Os at (0.250, 0.250, 0.750).


# 3
La4CdOs | GGA-PBE | optimized geometry

The value obtained for the raw total energy is -5.564 eV/atom.

The structure belongs to space group F-43m (No. 216); the cell edges are 14.270, 14.270 and 14.270 Å and the angles 90.00°, 90.00° and 90.00°. The inequivalent atoms are La at (0.000, 0.000, 0.190), La at (0.057, 0.250, 0.250), La at (0.155, 0.155, 0.655), Cd at (0.079, 0.079, 0.421) and Os at (0.138, 0.138, 0.862).


# 4
LaCdOs | GGA-PBE | optimized geometry

The value obtained for the raw total energy is -5.181 eV/atom.

The structure belongs to space group P3m1 (No. 156); the cell edges are 3.4897, 3.4897 and 6.9288 Å and the angles 90.00°, 90.00° and 120.00°. The inequivalent atoms are La at (0.0000, 0.0000, 0.0000), Cd at (0.3333, 0.6667, 0.5794) and Os at (0.6667, 0.3333, 0.2878).


# 5
La3Cd2Os | GGA-PBE | optimized geometry

The value obtained for the raw total energy is -4.870 eV/atom.

The structure belongs to space group Cmcm (No. 63); the cell edges are 16.692, 5.559 and 7.884 Å and the angles 90.00°, 90.00° and 90.00°. The inequivalent atoms are La at (0.000, 0.002, 0.250), La at (0.127, 0.500, 0.000), Cd at (0.203, 0.001, 0.750) and Os at (0.000, 0.498, 0.750).


# 6
LaCdOs | GGA-PBE | optimized geometry

The value obtained for the raw total energy is -5.793 eV/atom.

The structure belongs to space group C2/m (No. 12); the cell edges are 13.641, 4.358 and 5.321 Å and the angles 90.00°, 104.26° and 90.00°. The inequivalent atoms are La at (0.126, 0.000, 0.322), Cd at (0.070, 0.500, 0.782) and Os at (0.225, 0.000, 0.905).


# 7
La6Cd2Os | GGA-PBE | optimized geometry

The value obtained for the raw total energy is -4.850 eV/atom.

The structure belongs to space group Immm (No. 71); the cell edges are 9.915, 10.591 and 10.847 Å and the angles 90.00°, 90.00° and 90.00°. The inequivalent atoms are La at (0.000, 0.154, 0.232), La at (0.156, 0.500, 0.234), La at (0.220, 0.321, 0.500), Cd at (0.000, 0.360, 0.000), Cd at (0.142, 0.000, 0.500), Os at (0.000, 0.000, 0.000) and Os at (0.000, 0.500, 0.500).


# 8
LaCdOs | GGA-PBE | optimized geometry

The value obtained for the raw total energy is -5.457 eV/atom.

The structure belongs to space group I4mm (No. 107); the cell edges are 3.385, 3.385 and 12.286 Å and the angles 90.00°, 90.00° and 90.00°. The inequivalent atoms are La at (0.000, 0.000, 0.000), Cd at (0.000, 0.000, 0.725) and Os at (0.000, 0.000, 0.356).


# 9
La8CdOs2 | GGA-PBE | optimized geometry

The value obtained for the raw total energy is -5.833 eV/atom.

The structure belongs to space group C2/m (No. 12); the cell edges are 15.683, 7.009 and 6.666 Å and the angles 90.00°, 97.45° and 90.00°. The inequivalent atoms are La at (0.070, 0.000, 0.330), La at (0.132, 0.258, 0.884), La at (0.202, 0.500, 0.381), Cd at (0.000, 0.500, 0.500) and Os at (0.225, 0.000, 0.198).


# 10
La5CdOs | GGA-PBE | optimized geometry

The value obtained for the raw total energy is -5.361 eV/atom.

The structure belongs to space group C2/c (No. 15); the cell edges are 10.033, 7.739 and 12.309 Å and the angles 90.00°, 108.17° and 90.00°. The inequivalent atoms are La at (0.000, 0.002, 0.250), La at (0.125, 0.323, 0.058), La at (0.241, 0.171, 0.630), Cd at (0.000, 0.414, 0.750) and Os at (0.000, 0.000, 0.000).


# 11
LaCdOsPb2 | GGA-PBE | optimized geometry

The value obtained for the raw total energy is -2.803 eV/atom.

The structure belongs to space group P4/mmm (No. 123); the cell edges are 5.951, 5.951 and 5.769 Å and the angles 90.00°, 90.00° and 90.00°. The inequivalent atoms are La at (0.000, 0.000, 0.000), Cd at (0.000, 0.000, 0.500), Os at (0.500, 0.500, 0.500) and Pb at (0.000, 0.500, 0.000).


# 12
LaPmCdOs | GGA-PBE | optimized geometry

The value obtained for the raw total energy is -5.521 eV/atom.

The structure belongs to space group F-43m (No. 216); the cell edges are 7.366, 7.366 and 7.366 Å and the angles 90.00°, 90.00° and 90.00°. The inequivalent atoms are La at (0.000, 0.000, 0.000), Pm at (0.000, 0.000, 0.500), Cd at (0.250, 0.250, 0.250) and Os at (0.250, 0.250, 0.750).